# VTeOs3

An optimized crystal structure of VTeOs3 (GGA-PBE, the Alexandria database).

Unit cell a=4.553 b=4.553 c=4.553 alpha=90.00 beta=90.00 gamma=90.00
Sites, in units of the cell vectors:
Os 0.000 0.000 0.500
Os 0.000 0.500 0.000
V 0.000 0.000 0.000
Os 0.500 0.000 0.000
Te 0.500 0.500 0.500

Values from the calculation:
- total magnetization (μB/f.u.) = 0.000
- energy above the lowest structure with this stoichiometry (meV per atom) = 0
- raw formation energy (kJ/mol of formula units) = 815

# PaSbTe

An optimized crystal structure of PaSbTe (GGA-PBE, the Alexandria database).

Unit cell a=3.782 b=5.127 c=5.127 alpha=120.00 beta=90.00 gamma=90.00
Sites, in units of the cell vectors:
Te 0.166 0.000 0.000
Pa 0.167 0.667 0.333
Sb 0.667 0.333 0.667

Values from the calculation:
- total magnetization (μB/f.u.) = 0.001
- raw formation energy (kJ/mol of formula units) = -83

# ZnSe

An optimized crystal structure of ZnSe (GGA-PBE, the Alexandria database).

Unit cell a=7.835 b=7.835 c=7.835 alpha=90.00 beta=90.00 gamma=90.00
Sites, in units of the cell vectors:
Se 0.333 0.667 0.667
Se 0.667 0.667 0.333
Se 0.167 0.833 0.167
Zn 0.344 0.656 0.344
Zn 0.844 0.844 0.156
Zn 0.156 0.156 0.156
Se 0.833 0.833 0.833
Zn 0.344 0.344 0.656
Zn 0.156 0.844 0.844
Se 0.167 0.167 0.833
Zn 0.656 0.656 0.656
Se 0.833 0.167 0.167
Zn 0.656 0.344 0.344
Zn 0.844 0.156 0.844
Se 0.333 0.333 0.333
Se 0.667 0.333 0.667

Values from the calculation:
- total magnetization (μB/f.u.) = 0.000
- raw formation energy (kJ/mol of formula units) = -109